A plane-wave DFT calculation with PBE-GGA was carried out for crystalline NaMg4Tl4 at its relaxed geometry.

Results
* SG: P4_2/nmc (137)
* N(E_F): 3.80 states/eV per cell
* ΔE_f: 0.0185 eV per atom
* total magnetization: 0.0 μB per cell
* mass density: 6.21 g/cm³

Lattice parameters (Å, degrees): 6.9125 6.9125 10.4942 90.00 90.00 90.00
Atoms (fractional coordinates):
Na (0.0000, 0.0000, 0.0000)
Na (0.5000, 0.5000, 0.5000)
Tl (0.0000, 0.7317, 0.7146)
Tl (0.2317, 0.5000, 0.2146)
Tl (0.2683, 0.0000, 0.2854)
Tl (0.7317, 0.0000, 0.2854)
Tl (0.5000, 0.7683, 0.7854)
Tl (0.5000, 0.2317, 0.7854)
Tl (0.0000, 0.2683, 0.7146)
Tl (0.7683, 0.5000, 0.2146)
Mg (0.7787, 0.5000, 0.9247)
Mg (0.0000, 0.2787, 0.4247)
Mg (0.7213, 0.0000, 0.5753)
Mg (0.2213, 0.5000, 0.9247)
Mg (0.2787, 0.0000, 0.5753)
Mg (0.5000, 0.7787, 0.0753)
Mg (0.0000, 0.7213, 0.4247)
Mg (0.5000, 0.2213, 0.0753)

=====

A plane-wave DFT calculation with PBE-GGA was carried out for crystalline NaMg3Tl7 at its relaxed geometry.

Results
* SG: C2/m (12)
* N(E_F): 4.58 states/eV per cell
* ΔE_f: 0.0216 eV per atom
* total magnetization: 0.0 μB per cell
* mass density: 7.97 g/cm³

Lattice parameters (Å, degrees): 6.2129 7.2066 7.2066 87.12 96.67 96.67
Atoms (fractional coordinates):
Tl (0.7345, 0.4125, 0.0658)
Tl (0.2152, 0.2148, 0.2148)
Tl (0.2655, 0.5875, 0.9342)
Tl (0.7345, 0.0658, 0.4125)
Tl (0.2655, 0.9342, 0.5875)
Tl (0.7848, 0.7852, 0.7852)
Tl (0.0000, 0.5000, 0.5000)
Mg (0.0000, 0.8097, 0.1903)
Mg (0.0000, 0.1903, 0.8097)
Mg (0.5000, 0.0000, 0.0000)
Na (0.5000, 0.5000, 0.5000)

=====

A plane-wave DFT calculation with PBE-GGA was carried out for crystalline Na2Mg5Tl3 at its relaxed geometry.

Results
* SG: C2/c (15)
* N(E_F): 6.90 states/eV per cell
* ΔE_f: -0.0337 eV per atom
* total magnetization: 0.0 μB per cell
* mass density: 5.05 g/cm³

Lattice parameters (Å, degrees): 6.2435 9.2101 9.2101 102.92 93.87 93.87
Atoms (fractional coordinates):
Na (0.6161, 0.8644, 0.3798)
Na (0.3839, 0.1356, 0.6202)
Na (0.8839, 0.6202, 0.1356)
Na (0.1161, 0.3798, 0.8644)
Mg (0.6290, 0.2749, 0.9761)
Mg (0.3710, 0.7251, 0.0239)
Mg (0.4856, 0.7881, 0.7181)
Mg (0.7500, 0.5273, 0.4727)
Mg (0.9856, 0.7181, 0.7881)
Mg (0.0144, 0.2819, 0.2119)
Mg (0.2500, 0.4727, 0.5273)
Mg (0.1290, 0.9761, 0.2749)
Mg (0.5144, 0.2119, 0.2819)
Mg (0.8710, 0.0239, 0.7251)
Tl (0.6088, 0.4865, 0.7818)
Tl (0.7500, 0.9562, 0.0438)
Tl (0.2500, 0.0438, 0.9562)
Tl (0.1088, 0.7818, 0.4865)
Tl (0.8912, 0.2182, 0.5135)
Tl (0.3912, 0.5135, 0.2182)

=====

A plane-wave DFT calculation with PBE-GGA was carried out for crystalline Na2Mg3Tl5 at its relaxed geometry.

Results
* SG: C2/c (15)
* N(E_F): 8.34 states/eV per cell
* ΔE_f: -0.0471 eV per atom
* total magnetization: 0.0 μB per cell
* mass density: 6.91 g/cm³

Lattice parameters (Å, degrees): 6.4882 9.3165 9.3165 102.75 91.93 91.94
Atoms (fractional coordinates):
Tl (0.2500, 0.4554, 0.5446)
Tl (0.7500, 0.5446, 0.4554)
Tl (0.9101, 0.0413, 0.7218)
Tl (0.4943, 0.8160, 0.7200)
Tl (0.0057, 0.2800, 0.1840)
Tl (0.9943, 0.7200, 0.8160)
Tl (0.4101, 0.7218, 0.0413)
Tl (0.5899, 0.2782, 0.9587)
Tl (0.0899, 0.9587, 0.2782)
Tl (0.5057, 0.1840, 0.2800)
Na (0.1172, 0.3810, 0.8682)
Na (0.3828, 0.1318, 0.6190)
Na (0.8828, 0.6190, 0.1318)
Na (0.6172, 0.8682, 0.3810)
Mg (0.6228, 0.4958, 0.7642)
Mg (0.7500, 0.9751, 0.0249)
Mg (0.2500, 0.0249, 0.9751)
Mg (0.1229, 0.7642, 0.4958)
Mg (0.8771, 0.2358, 0.5042)
Mg (0.3772, 0.5042, 0.2358)

=====

A plane-wave DFT calculation with PBE-GGA was carried out for crystalline Na3Mg4Tl8 at its relaxed geometry.

Results
* SG: C2/m (12)
* N(E_F): 7.21 states/eV per cell
* ΔE_f: 0.0414 eV per atom
* total magnetization: 0.0 μB per cell
* mass density: 6.83 g/cm³

Lattice parameters (Å, degrees): 11.1762 8.7872 8.7872 83.74 129.81 129.81
Atoms (fractional coordinates):
Na (0.5000, 0.5000, 0.0000)
Na (0.5000, 0.0000, 0.5000)
Na (0.5000, 0.5000, 0.5000)
Mg (0.0000, 0.5000, 0.0000)
Mg (0.5000, 0.0000, 0.0000)
Mg (0.0000, 0.0000, 0.0000)
Mg (0.0000, 0.0000, 0.5000)
Tl (0.2151, 0.5612, 0.5612)
Tl (0.1565, 0.9096, 0.9096)
Tl (0.8435, 0.0904, 0.0904)
Tl (0.7849, 0.4388, 0.4388)
Tl (0.5000, 0.7554, 0.2446)
Tl (0.0000, 0.2593, 0.7407)
Tl (0.5000, 0.2446, 0.7554)
Tl (0.0000, 0.7407, 0.2593)

=====

A plane-wave DFT calculation with PBE-GGA was carried out for crystalline Na6MgTl8 at its relaxed geometry.

Results
* SG: P-1 (2)
* N(E_F): 4.99 states/eV per cell
* ΔE_f: -0.0970 eV per atom
* total magnetization: 0.0 μB per cell
* mass density: 7.03 g/cm³

Lattice parameters (Å, degrees): 11.7201 10.1282 14.0707 44.86 21.76 53.35
Atoms (fractional coordinates):
Na (0.8044, 0.3881, 0.8068)
Na (0.1369, 0.7333, 0.7986)
Na (0.4965, 0.0831, 0.7794)
Na (0.5035, 0.9169, 0.2206)
Na (0.1956, 0.6119, 0.1932)
Na (0.8631, 0.2667, 0.2014)
Tl (0.0492, 0.8581, 0.4128)
Tl (0.2595, 0.4486, 0.6144)
Tl (0.4013, 0.1888, 0.4090)
Tl (0.9508, 0.1419, 0.5872)
Tl (0.3375, 0.3371, 0.9951)
Tl (0.7405, 0.5514, 0.3856)
Tl (0.5987, 0.8112, 0.5910)
Tl (0.6625, 0.6629, 0.0049)
Mg (0.0000, 0.0000, 0.0000)

=====

A plane-wave DFT calculation with PBE-GGA was carried out for crystalline NaMgTl4 at its relaxed geometry.

Results
* SG: C2/m (12)
* N(E_F): 2.65 states/eV per cell
* ΔE_f: 0.0045 eV per atom
* total magnetization: 0.0 μB per cell
* E above lowest polymorph: 61.7 meV per atom
* mass density: 8.27 g/cm³

Lattice parameters (Å, degrees): 3.3840 5.5672 9.8685 81.48 80.13 72.31
Atoms (fractional coordinates):
Na (0.5000, 0.5000, 0.5000)
Tl (0.6528, 0.5417, 0.1527)
Tl (0.8363, 0.9953, 0.3321)
Tl (0.3472, 0.4583, 0.8473)
Tl (0.1637, 0.0047, 0.6679)
Mg (0.0000, 0.0000, 0.0000)

=====

A plane-wave DFT calculation with PBE-GGA was carried out for crystalline Na2Mg2Tl7 at its relaxed geometry.

Results
* SG: Imm2 (44)
* N(E_F): 4.28 states/eV per cell
* ΔE_f: -0.0399 eV per atom
* total magnetization: 0.0 μB per cell
* mass density: 8.11 g/cm³

Lattice parameters (Å, degrees): 4.9214 8.8269 8.8269 59.33 73.81 73.81
Atoms (fractional coordinates):
Tl (0.1533, 0.1713, 0.5222)
Tl (0.6451, 0.4753, 0.2344)
Tl (0.8416, 0.0716, 0.2453)
Tl (0.8467, 0.4778, 0.8287)
Tl (0.3549, 0.7656, 0.5247)
Tl (0.1584, 0.7547, 0.9284)
Tl (0.5000, 0.9454, 0.0546)
Na (0.0000, 0.6330, 0.3670)
Na (0.5000, 0.3170, 0.6830)
Mg (0.7117, 0.9094, 0.6673)
Mg (0.2883, 0.3327, 0.0906)

=====

A plane-wave DFT calculation with PBE-GGA was carried out for crystalline NaMg2Tl2 at its relaxed geometry.

Results
* SG: P4/mbm (127)
* N(E_F): 3.98 states/eV per cell
* ΔE_f: -0.0595 eV per atom
* total magnetization: 0.0 μB per cell
* E above lowest polymorph: 0.0 meV per atom
* mass density: 6.02 g/cm³

Lattice parameters (Å, degrees): 8.7807 8.7807 3.4371 90.00 90.00 90.00
Atoms (fractional coordinates):
Mg (0.6272, 0.1272, 0.0000)
Mg (0.1272, 0.3728, 0.0000)
Mg (0.3728, 0.8728, 0.0000)
Mg (0.8728, 0.6272, 0.0000)
Tl (0.1706, 0.6706, 0.5000)
Tl (0.6706, 0.8294, 0.5000)
Tl (0.3294, 0.1706, 0.5000)
Tl (0.8294, 0.3294, 0.5000)
Na (0.5000, 0.5000, 0.0000)
Na (0.0000, 0.0000, 0.0000)

=====

A plane-wave DFT calculation with PBE-GGA was carried out for crystalline NaMgTl6 at its relaxed geometry.

Results
* SG: R-3m (166)
* N(E_F): 3.50 states/eV per cell
* ΔE_f: 0.0066 eV per atom
* total magnetization: 0.0 μB per cell
* E above lowest polymorph: 34.1 meV per atom
* mass density: 8.80 g/cm³

Lattice parameters (Å, degrees): 6.7287 6.7287 6.7287 108.78 108.78 108.78
Atoms (fractional coordinates):
Mg (0.5000, 0.5000, 0.5000)
Tl (0.7331, 0.2467, 0.2467)
Tl (0.2467, 0.2467, 0.7331)
Tl (0.2669, 0.7533, 0.7533)
Tl (0.2467, 0.7331, 0.2467)
Tl (0.7533, 0.7533, 0.2669)
Tl (0.7533, 0.2669, 0.7533)
Na (0.0000, 0.0000, 0.0000)

=====

A plane-wave DFT calculation with PBE-GGA was carried out for crystalline NaMg7Tl12 at its relaxed geometry.

Results
* SG: Im-3 (204)
* N(E_F): 11.75 states/eV per cell
* ΔE_f: 0.1549 eV per atom
* total magnetization: 0.0 μB per cell
* mass density: 6.67 g/cm³

Lattice parameters (Å, degrees): 9.4935 9.4935 9.4935 109.47 109.47 109.47
Atoms (fractional coordinates):
Mg (0.5000, 0.0000, 0.0000)
Mg (0.0000, 0.5000, 0.5000)
Mg (0.5000, 0.0000, 0.5000)
Mg (0.5000, 0.5000, 0.5000)
Mg (0.0000, 0.5000, 0.0000)
Mg (0.0000, 0.0000, 0.5000)
Mg (0.5000, 0.5000, 0.0000)
Tl (0.8912, 0.6568, 0.2344)
Tl (0.2344, 0.5776, 0.3432)
Tl (0.4224, 0.6568, 0.7656)
Tl (0.6568, 0.7656, 0.4224)
Tl (0.6568, 0.2344, 0.8912)
Tl (0.3432, 0.2344, 0.5776)
Tl (0.7656, 0.1088, 0.3432)
Tl (0.5776, 0.3432, 0.2344)
Tl (0.2344, 0.8912, 0.6568)
Tl (0.3432, 0.7656, 0.1088)
Tl (0.7656, 0.4224, 0.6568)
Tl (0.1088, 0.3432, 0.7656)
Na (0.0000, 0.0000, 0.0000)

=====

A plane-wave DFT calculation with PBE-GGA was carried out for crystalline Na3Mg3Tl5 at its relaxed geometry.

Results
* SG: P-62m (189)
* N(E_F): 7.42 states/eV per cell
* ΔE_f: 0.1444 eV per atom
* total magnetization: 0.0 μB per cell
* E above lowest polymorph: 192.6 meV per atom
* mass density: 4.94 g/cm³

Lattice parameters (Å, degrees): 5.5361 9.0370 9.0370 120.00 90.00 90.00
Atoms (fractional coordinates):
Na (0.0000, 0.5891, 0.0000)
Na (0.0000, 0.4109, 0.4109)
Na (0.0000, 0.0000, 0.5891)
Mg (0.5000, 0.6267, 0.6267)
Mg (0.5000, 0.0000, 0.3733)
Mg (0.5000, 0.3733, 0.0000)
Tl (0.5000, 0.6667, 0.3333)
Tl (0.5000, 0.3333, 0.6667)
Tl (0.5000, 0.0000, 0.7777)
Tl (0.5000, 0.7777, 0.0000)
Tl (0.5000, 0.2223, 0.2223)

=====

A plane-wave DFT calculation with PBE-GGA was carried out for crystalline Na2MgTl7 at its relaxed geometry.

Results
* SG: P3m1 (156)
* N(E_F): 7.74 states/eV per cell
* ΔE_f: 0.0075 eV per atom
* total magnetization: 0.0 μB per cell
* E above lowest polymorph: 0.0 meV per atom
* mass density: 8.09 g/cm³

Lattice parameters (Å, degrees): 5.1584 5.1584 13.3662 90.00 90.00 120.00
Atoms (fractional coordinates):
Tl (0.6667, 0.3333, 0.8598)
Tl (0.3333, 0.6667, 0.4840)
Tl (0.0000, 0.0000, 0.6717)
Tl (0.0000, 0.0000, 0.2153)
Tl (0.6667, 0.3333, 0.1156)
Tl (0.3333, 0.6667, 0.0222)
Tl (0.6667, 0.3333, 0.5939)
Na (0.3333, 0.6667, 0.7629)
Na (0.6667, 0.3333, 0.3543)
Mg (0.0000, 0.0000, 0.9368)

=====

A plane-wave DFT calculation with PBE-GGA was carried out for crystalline NaMg7Tl4 at its relaxed geometry.

Results
* SG: C2/m (12)
* N(E_F): 4.23 states/eV per cell
* ΔE_f: 0.0772 eV per atom
* total magnetization: 0.0 μB per cell
* mass density: 5.28 g/cm³

Lattice parameters (Å, degrees): 5.4759 9.3182 7.0645 84.22 67.20 72.91
Atoms (fractional coordinates):
Na (0.0000, 0.0000, 0.0000)
Mg (0.2160, 0.1050, 0.4631)
Mg (0.6455, 0.4390, 0.2701)
Mg (0.9250, 0.3473, 0.8027)
Mg (0.7840, 0.8950, 0.5369)
Mg (0.0750, 0.6527, 0.1973)
Mg (0.3545, 0.5610, 0.7299)
Mg (0.5000, 0.0000, 0.0000)
Tl (0.5781, 0.2232, 0.6206)
Tl (0.4219, 0.7768, 0.3794)
Tl (0.7198, 0.6767, 0.8837)
Tl (0.2802, 0.3233, 0.1163)

=====

A plane-wave DFT calculation with PBE-GGA was carried out for crystalline Na2Mg5Tl12 at its relaxed geometry.

Results
* SG: C2/m (12)
* N(E_F): 8.53 states/eV per cell
* ΔE_f: -0.0009 eV per atom
* total magnetization: 0.0 μB per cell
* E above lowest polymorph: 0.0 meV per atom
* mass density: 8.12 g/cm³

Lattice parameters (Å, degrees): 9.5740 9.5740 8.3502 99.99 112.33 121.15
Atoms (fractional coordinates):
Tl (0.6677, 0.5588, 0.2265)
Tl (0.9476, 0.4345, 0.7604)
Tl (0.3258, 0.8128, 0.7604)
Tl (0.5123, 0.3379, 0.4849)
Tl (0.8530, 0.0274, 0.5151)
Tl (0.1993, 0.8895, 0.0887)
Tl (0.4877, 0.6621, 0.5151)
Tl (0.1470, 0.9726, 0.4849)
Tl (0.3323, 0.4412, 0.7735)
Tl (0.6742, 0.1872, 0.2396)
Tl (0.0524, 0.5655, 0.2396)
Tl (0.8007, 0.1105, 0.9113)
Mg (0.5000, 0.0000, 0.5000)
Mg (0.5859, 0.2855, 0.8714)
Mg (0.4141, 0.7145, 0.1286)
Mg (0.0815, 0.2568, 0.3383)
Mg (0.9185, 0.7432, 0.6617)
Na (0.2067, 0.2067, 0.0000)
Na (0.7933, 0.7933, 0.0000)

=====

A plane-wave DFT calculation with PBE-GGA was carried out for crystalline Na5Mg2Tl12 at its relaxed geometry.

Results
* SG: C2/m (12)
* N(E_F): 9.16 states/eV per cell
* ΔE_f: 0.0055 eV per atom
* total magnetization: 0.0 μB per cell
* E above lowest polymorph: 2.1 meV per atom
* mass density: 7.54 g/cm³

Lattice parameters (Å, degrees): 6.7098 9.6311 10.0335 107.38 90.00 110.39
Atoms (fractional coordinates):
Mg (0.2729, 0.0000, 0.0000)
Mg (0.7271, 0.0000, 0.0000)
Tl (0.8922, 0.2979, 0.6593)
Tl (0.0984, 0.1967, 0.8869)
Tl (0.9016, 0.8033, 0.1131)
Tl (0.1078, 0.7021, 0.3407)
Tl (0.4842, 0.9684, 0.6792)
Tl (0.3929, 0.3114, 0.2202)
Tl (0.6071, 0.6886, 0.7798)
Tl (0.5942, 0.7021, 0.3407)
Tl (0.5158, 0.0316, 0.3208)
Tl (0.4058, 0.2979, 0.6593)
Tl (0.9185, 0.3114, 0.2202)
Tl (0.0815, 0.6886, 0.7798)
Na (0.6955, 0.3909, 0.9683)
Na (0.3045, 0.6091, 0.0317)
Na (0.2508, 0.5016, 0.5062)
Na (0.0000, 0.0000, 0.5000)
Na (0.7492, 0.4984, 0.4938)

=====

A plane-wave DFT calculation with PBE-GGA was carried out for crystalline NaMgTl4 at its relaxed geometry.

Results
* SG: C2/m (12)
* N(E_F): 2.13 states/eV per cell
* ΔE_f: -0.0572 eV per atom
* total magnetization: 0.0 μB per cell
* E above lowest polymorph: 0.0 meV per atom
* mass density: 8.51 g/cm³

Lattice parameters (Å, degrees): 3.9255 6.1221 8.3319 107.14 76.37 71.30
Atoms (fractional coordinates):
Tl (0.3155, 0.0267, 0.3423)
Tl (0.8466, 0.4848, 0.8219)
Tl (0.6845, 0.9733, 0.6577)
Tl (0.1534, 0.5152, 0.1781)
Mg (0.5000, 0.5000, 0.5000)
Na (0.0000, 0.0000, 0.0000)

=====

A plane-wave DFT calculation with PBE-GGA was carried out for crystalline Na2Mg2Tl5 at its relaxed geometry.

Results
* SG: Cmce (64)
* N(E_F): 8.86 states/eV per cell
* ΔE_f: -0.0287 eV per atom
* total magnetization: 0.0 μB per cell
* mass density: 7.07 g/cm³

Lattice parameters (Å, degrees): 7.6346 8.0936 9.4001 115.50 90.00 90.00
Atoms (fractional coordinates):
Tl (0.8391, 0.5400, 0.7518)
Tl (0.6609, 0.2881, 0.2482)
Tl (0.0000, 0.0000, 0.0000)
Tl (0.1609, 0.4600, 0.2482)
Tl (0.3391, 0.9600, 0.2482)
Tl (0.8391, 0.7881, 0.2482)
Tl (0.1609, 0.2119, 0.7518)
Tl (0.5000, 0.5000, 0.0000)
Tl (0.3391, 0.7119, 0.7518)
Tl (0.6609, 0.0400, 0.7518)
Mg (0.8635, 0.3629, 0.0000)
Mg (0.1365, 0.6371, 0.0000)
Mg (0.6365, 0.8629, 0.0000)
Mg (0.3635, 0.1371, 0.0000)
Na (0.5000, 0.2847, 0.5693)
Na (0.5000, 0.7153, 0.4307)
Na (0.0000, 0.2153, 0.4307)
Na (0.0000, 0.7847, 0.5693)

=====

A plane-wave DFT calculation with PBE-GGA was carried out for crystalline NaMgTl2 at its relaxed geometry.

Results
* SG: I-42d (122)
* N(E_F): 2.87 states/eV per cell
* ΔE_f: 0.0527 eV per atom
* total magnetization: 0.0 μB per cell
* E above lowest polymorph: 163.1 meV per atom
* mass density: 6.40 g/cm³

Lattice parameters (Å, degrees): 8.4019 8.4019 6.8229 52.00 52.00 90.00
Atoms (fractional coordinates):
Mg (0.7500, 0.2500, 0.5000)
Mg (0.0000, 0.0000, 0.0000)
Tl (0.3750, 0.3569, 0.7500)
Tl (0.6431, 0.1250, 0.2500)
Tl (0.1069, 0.6250, 0.2500)
Tl (0.8750, 0.8931, 0.7500)
Na (0.5000, 0.5000, 0.0000)
Na (0.2500, 0.7500, 0.5000)